Entry 1:
The following is a PBE-GGA calculation of a relaxed K2Rb6Hg crystal, from Alexandria via LeMat-Bulk. Values from VASP.

Calculated values
For the magnetic moment, the calculation gives 0.0 μB per formula unit. Its formation energy is -40 meV/atom. The space group is Amm2, No. 38. For the energy above the most stable polymorph in this dataset, the calculation gives 0 meV per atom. The density of states at the Fermi level comes out at 7.6 states/eV per cell.

```
&SYSTEM
  ibrav = 0, nat = 9, ntyp = 3
/
ATOMIC_SPECIES
K 39.10 K.upf
Rb 85.47 Rb.upf
Hg 200.59 Hg.upf
CELL_PARAMETERS angstrom
5.1912 0.0000 0.0000
0.0000 11.1067 -5.1143
0.0000 -1.1043 12.2191
ATOMIC_POSITIONS crystal
K 0.0000 0.3333 0.6631
K 0.0000 0.6702 0.3369
Rb 0.5000 0.6174 0.0000
Rb 0.5000 0.3757 0.3735
Rb 0.5000 0.0021 0.6265
Rb 0.0000 0.2367 0.0000
Rb 0.0000 0.7653 0.7674
Rb 0.0000 0.9979 0.2326
Hg 0.5000 0.0015 0.0000
```


Entry 2:
The following is a PBE-GGA calculation of a relaxed KRb2Hg9 crystal, from Alexandria via LeMat-Bulk. Values from VASP.

Calculated values
For the magnetic moment, the calculation gives 0.0 μB per formula unit. Its formation energy is -194 meV/atom. The space group is R-3m, No. 166. The density of states at the Fermi level comes out at 6.1 states/eV per cell.

```
&SYSTEM
  ibrav = 0, nat = 12, ntyp = 3
/
ATOMIC_SPECIES
K 39.10 K.upf
Rb 85.47 Rb.upf
Hg 200.59 Hg.upf
CELL_PARAMETERS angstrom
6.1857 0.0000 1.8410
2.8189 5.5061 1.8410
-0.0542 -0.0331 11.4947
ATOMIC_POSITIONS crystal
K 0.0000 0.0000 0.0000
Rb 0.8580 0.8580 0.4261
Rb 0.1420 0.1420 0.5739
Hg 0.6634 0.6634 0.0098
Hg 0.3366 0.3366 0.9902
Hg 0.5000 0.5000 0.5000
Hg 0.4128 0.4128 0.2495
Hg 0.9249 0.4128 0.2495
Hg 0.4128 0.9249 0.2495
Hg 0.5872 0.5872 0.7505
Hg 0.5872 0.0751 0.7505
Hg 0.0751 0.5872 0.7505
```


Entry 3:
The following is a PBE-GGA calculation of a relaxed K2Rb4Hg crystal, from Alexandria via LeMat-Bulk. Values from VASP.

Calculated values
For the magnetic moment, the calculation gives 0.0 μB per formula unit. Its formation energy is -9 meV/atom. The space group is I4/mmm, No. 139. For the energy above the most stable polymorph in this dataset, the calculation gives 34 meV per atom. The density of states at the Fermi level comes out at 5.4 states/eV per cell.

```
&SYSTEM
  ibrav = 0, nat = 7, ntyp = 3
/
ATOMIC_SPECIES
K 39.10 K.upf
Hg 200.59 Hg.upf
Rb 85.47 Rb.upf
CELL_PARAMETERS angstrom
-6.1879 2.8413 -1.7440
-3.3280 -5.4813 2.8782
4.4415 6.7282 9.3665
ATOMIC_POSITIONS crystal
K 0.6363 0.6363 0.2727
K 0.3637 0.3637 0.7273
Hg 0.0000 0.0000 0.0000
Rb 0.8335 0.8335 0.6671
Rb 0.1665 0.1665 0.3329
Rb 0.0000 0.5000 0.0000
Rb 0.5000 0.0000 0.0000
```


Entry 4:
The following is a PBE-GGA calculation of a relaxed K6Rb2Hg3 crystal, from Alexandria via LeMat-Bulk. Values from VASP.

Calculated values
For the magnetic moment, the calculation gives 0.0 μB per formula unit. Its formation energy is -75 meV/atom. The space group is P-62m, No. 189. The density of states at the Fermi level comes out at 8.0 states/eV per cell.

```
&SYSTEM
  ibrav = 0, nat = 11, ntyp = 3
/
ATOMIC_SPECIES
K 39.10 K.upf
Rb 85.47 Rb.upf
Hg 200.59 Hg.upf
CELL_PARAMETERS angstrom
-4.8859 0.2497 -3.8586
-3.1934 -9.8342 3.4071
-3.5592 8.9435 5.0856
ATOMIC_POSITIONS crystal
K 0.5000 0.6879 0.6879
K 0.5000 0.0000 0.3121
K 0.0000 0.2273 0.2273
K 0.0000 0.7727 0.0000
K 0.5000 0.3121 0.0000
K 0.0000 0.0000 0.7727
Rb 0.0000 0.6667 0.3333
Rb 0.0000 0.3333 0.6667
Hg 0.5000 0.3679 0.3679
Hg 0.5000 0.6321 0.0000
Hg 0.5000 0.0000 0.6321
```


Entry 5:
The following is a PBE-GGA calculation of a relaxed K3Rb12Hg5 crystal, from Alexandria via LeMat-Bulk. Values from VASP.

Calculated values
For the magnetic moment, the calculation gives 0.0 μB per formula unit. Its formation energy is 4 meV/atom. The space group is Ia-3d, No. 230. The density of states at the Fermi level comes out at 72.2 states/eV per cell.

```
&SYSTEM
  ibrav = 0, nat = 80, ntyp = 3
/
ATOMIC_SPECIES
K 39.10 K.upf
Hg 200.59 Hg.upf
Rb 85.47 Rb.upf
CELL_PARAMETERS angstrom
20.1202 0.0000 0.0000
-6.7067 18.9695 0.0000
-6.7067 -9.4847 16.4280
ATOMIC_POSITIONS crystal
K 0.7500 0.3750 0.1250
K 0.8750 0.7500 0.1250
K 0.3750 0.7500 0.6250
K 0.2500 0.1250 0.3750
K 0.8750 0.1250 0.2500
K 0.3750 0.6250 0.2500
K 0.6250 0.3750 0.7500
K 0.1250 0.8750 0.7500
K 0.7500 0.8750 0.6250
K 0.6250 0.2500 0.3750
K 0.1250 0.2500 0.8750
K 0.2500 0.6250 0.8750
Hg 0.1250 0.3750 0.2500
Hg 0.0000 0.5000 0.0000
Hg 0.0000 0.0000 0.0000
Hg 0.3750 0.2500 0.1250
Hg 0.5000 0.0000 0.5000
Hg 0.5000 0.5000 0.0000
Hg 0.1250 0.7500 0.3750
Hg 0.7500 0.1250 0.8750
Hg 0.7500 0.6250 0.3750
Hg 0.3750 0.1250 0.7500
Hg 0.6250 0.8750 0.2500
Hg 0.5000 0.5000 0.5000
Hg 0.5000 0.0000 0.0000
Hg 0.0000 0.0000 0.5000
Hg 0.2500 0.3750 0.6250
Hg 0.2500 0.8750 0.1250
Hg 0.0000 0.5000 0.5000
Hg 0.8750 0.2500 0.6250
Hg 0.6250 0.7500 0.8750
Hg 0.8750 0.6250 0.7500
Rb 0.6987 0.0997 0.0212
Rb 0.3224 0.5212 0.4214
Rb 0.9788 0.4003 0.3013
Rb 0.5212 0.1987 0.0997
Rb 0.5990 0.6987 0.6776
Rb 0.9788 0.5786 0.1776
Rb 0.3224 0.8013 0.4010
Rb 0.0786 0.9010 0.0997
Rb 0.5786 0.9788 0.6776
Rb 0.6987 0.5990 0.1776
Rb 0.8013 0.4788 0.4003
Rb 0.8224 0.9214 0.0212
Rb 0.0997 0.6987 0.5212
Rb 0.4003 0.4214 0.0990
Rb 0.0990 0.9214 0.4003
Rb 0.4010 0.0997 0.5786
Rb 0.0990 0.1776 0.1987
Rb 0.4788 0.6776 0.0786
Rb 0.8224 0.9010 0.3013
Rb 0.0997 0.4010 0.0786
Rb 0.4003 0.9788 0.8013
Rb 0.5786 0.5997 0.4010
Rb 0.9214 0.8224 0.5212
Rb 0.8013 0.3224 0.9010
Rb 0.4214 0.4003 0.5990
Rb 0.0786 0.1776 0.4788
Rb 0.1987 0.6776 0.0990
Rb 0.1776 0.0990 0.6987
Rb 0.5997 0.0212 0.1987
Rb 0.9003 0.5990 0.9214
Rb 0.5212 0.3224 0.9214
Rb 0.5990 0.9003 0.4214
Rb 0.9010 0.8224 0.8013
Rb 0.9010 0.0786 0.5997
Rb 0.9003 0.3013 0.4788
Rb 0.1776 0.0786 0.9788
Rb 0.5997 0.5786 0.9010
Rb 0.4214 0.0212 0.3224
Rb 0.3013 0.4010 0.8224
Rb 0.1987 0.5212 0.5997
Rb 0.9214 0.0990 0.9003
Rb 0.6776 0.1987 0.5990
Rb 0.4788 0.8013 0.9003
Rb 0.0212 0.4214 0.8224
Rb 0.4010 0.3013 0.3224
Rb 0.0212 0.5997 0.6987
Rb 0.6776 0.4788 0.5786
Rb 0.3013 0.9003 0.9788
```


Entry 6:
The following is a PBE-GGA calculation of a relaxed K8Rb2Hg crystal, from Alexandria via LeMat-Bulk. Values from VASP.

Calculated values
For the magnetic moment, the calculation gives 0.0 μB per formula unit. Its formation energy is -29 meV/atom. The space group is C2/m, No. 12. For the energy above the most stable polymorph in this dataset, the calculation gives 0 meV per atom. The density of states at the Fermi level comes out at 7.8 states/eV per cell.

```
&SYSTEM
  ibrav = 0, nat = 11, ntyp = 3
/
ATOMIC_SPECIES
K 39.10 K.upf
Rb 85.47 Rb.upf
Hg 200.59 Hg.upf
CELL_PARAMETERS angstrom
6.8473 0.0000 -1.9656
0.0730 9.0081 0.2544
-0.1861 1.0395 12.2605
ATOMIC_POSITIONS crystal
K 0.4196 0.3783 0.8392
K 0.6376 0.1217 0.2752
K 0.8339 0.1515 0.6678
K 0.9800 0.7703 0.9601
K 0.1661 0.8485 0.3322
K 0.3624 0.8783 0.7248
K 0.5804 0.6217 0.1608
K 0.0200 0.2297 0.0399
Rb 0.7851 0.6488 0.5702
Rb 0.2149 0.3512 0.4298
Hg 0.5000 0.0000 0.0000
```


Entry 7:
The following is a PBE-GGA calculation of a relaxed K3Rb7Hg4 crystal, from Alexandria via LeMat-Bulk. Values from VASP.

Calculated values
For the magnetic moment, the calculation gives 0.0 μB per formula unit. Its formation energy is -116 meV/atom. The space group is C2/m, No. 12. The density of states at the Fermi level comes out at 6.3 states/eV per cell.

```
&SYSTEM
  ibrav = 0, nat = 14, ntyp = 3
/
ATOMIC_SPECIES
K 39.10 K.upf
Rb 85.47 Rb.upf
Hg 200.59 Hg.upf
CELL_PARAMETERS angstrom
-4.7163 0.6151 -4.1391
-6.6903 -7.9892 1.6337
-9.9588 5.0224 7.2917
ATOMIC_POSITIONS crystal
K 0.3440 0.0923 0.2197
K 0.6560 0.9077 0.7803
K 0.0000 0.5000 0.5000
Rb 0.3132 0.8261 0.5475
Rb 0.4576 0.3328 0.7521
Rb 0.8096 0.4939 0.8869
Rb 0.6868 0.1739 0.4525
Rb 0.1904 0.5061 0.1131
Rb 0.0000 0.0000 0.0000
Rb 0.5424 0.6672 0.2479
Hg 0.7699 0.2957 0.1644
Hg 0.2301 0.7043 0.8356
Hg 0.9127 0.8507 0.3240
Hg 0.0873 0.1493 0.6760
```


Entry 8:
The following is a PBE-GGA calculation of a relaxed KRbHg2 crystal, from Alexandria via LeMat-Bulk. Values from VASP.

Calculated values
For the magnetic moment, the calculation gives 0.0 μB per formula unit. Its formation energy is -209 meV/atom. The space group is P4/mmm, No. 123. For the energy above the most stable polymorph in this dataset, the calculation gives 30 meV per atom. The density of states at the Fermi level comes out at 2.3 states/eV per cell.

```
&SYSTEM
  ibrav = 0, nat = 4, ntyp = 3
/
ATOMIC_SPECIES
K 39.10 K.upf
Hg 200.59 Hg.upf
Rb 85.47 Rb.upf
CELL_PARAMETERS angstrom
-0.5024 4.2389 1.3176
-2.3337 0.8758 -3.7072
-7.0216 -2.0551 3.9345
ATOMIC_POSITIONS crystal
K 0.5000 0.5000 0.0000
Hg 0.0000 0.0000 0.8026
Hg 0.0000 0.0000 0.1974
Rb 0.5000 0.5000 0.5000
```